VASP calculation (PBE) on a relaxed structure of GaNiSn2.

a = 6.9233 Å, b = 6.9233 Å, c = 6.9233 Å
α = 90.00°, β = 90.00°, γ = 90.00°
Fractional positions:
Ga: 0.0000 0.0000 0.0000
Ga: 0.0000 0.5000 0.5000
Ga: 0.5000 0.0000 0.5000
Ga: 0.5000 0.5000 0.0000
Ni: 0.2500 0.2500 0.7500
Ni: 0.2500 0.7500 0.2500
Ni: 0.7500 0.2500 0.2500
Ni: 0.7500 0.7500 0.7500
Sn: 0.0000 0.0000 0.5000
Sn: 0.0000 0.5000 0.0000
Sn: 0.2500 0.2500 0.2500
Sn: 0.2500 0.7500 0.7500
Sn: 0.5000 0.0000 0.0000
Sn: 0.5000 0.5000 0.5000
Sn: 0.7500 0.2500 0.7500
Sn: 0.7500 0.7500 0.2500

Properties
Energy in eV/atom: -3.8889
Total moment in μB per formula unit: 0.042
Space group: No. 216